Entry 1:
{
  "formula": "Pu2PO2",
  "functional": "PBE-GGA",
  "state": "relaxed",
  "e_form_raw_mev_per_atom": -2317,
  "lattice_angstrom": [[6.0538, 0.3464, -0.0024], [-1.7279, 5.8123, -0.0024], [-2.1612, -3.0768, 4.8800]],
  "species": ["Pu", "Pu", "O", "P", "Pu", "Pu", "O", "O", "P", "O"],
  "frac_coords": [[0.8340, 0.6660, 0.2500], [0.1660, 0.3340, 0.7500], [0.5072, 0.2572, 0.0144], [0.8750, 0.6250, 0.7500], [0.4160, 0.0840, 0.2500], [0.5840, 0.9160, 0.7500], [0.2428, 0.9928, 0.4856], [0.7572, 0.0072, 0.5144], [0.1250, 0.3750, 0.2500], [0.4928, 0.7428, 0.9856]]
}

***

Entry 2:
{
  "formula": "Pu2P2O",
  "functional": "PBE-GGA",
  "state": "relaxed",
  "e_form_raw_mev_per_atom": -1246,
  "lattice_angstrom": [[-2.6104, 1.6266, -1.7016], [3.4577, -2.0810, -3.6631], [-5.5336, -8.9977, -0.1118]],
  "species": ["Pu", "P", "Pu", "Pu", "Pu", "P", "P", "O", "O", "P"],
  "frac_coords": [[0.2266, 0.4533, 0.1236], [0.3257, 0.6513, 0.8324], [0.0304, 0.0608, 0.8947], [0.7734, 0.5467, 0.6236], [0.9696, 0.9392, 0.3947], [0.9376, 0.8751, 0.1426], [0.0624, 0.1249, 0.6426], [0.6254, 0.2509, 0.9921], [0.3746, 0.7491, 0.4921], [0.6743, 0.3487, 0.3324]]
}

***

Entry 3:
{
  "formula": "Pu3P2O2",
  "functional": "PBE-GGA",
  "state": "relaxed",
  "e_form_raw_mev_per_atom": -1905,
  "lattice_angstrom": [[3.9641, 0.0000, 0.0000], [0.0000, 6.3417, 0.0868], [-1.9820, -2.0124, 5.6831]],
  "species": ["O", "Pu", "Pu", "Pu", "P", "P", "O"],
  "frac_coords": [[0.8418, 0.6114, 0.6835], [0.6991, 0.2499, 0.3983], [0.3009, 0.7501, 0.6017], [0.0000, 0.5000, 0.0000], [0.3815, 0.2132, 0.7629], [0.6185, 0.7868, 0.2371], [0.1582, 0.3886, 0.3165]]
}

***

Entry 4:
{
  "formula": "Pu6P3O",
  "functional": "PBE-GGA",
  "state": "relaxed",
  "e_form_raw_mev_per_atom": -888,
  "lattice_angstrom": [[7.4718, -0.9590, -0.6775], [3.0333, 5.2934, 0.0654], [3.0333, 1.8307, 4.9672]],
  "species": ["Pu", "Pu", "P", "Pu", "Pu", "Pu", "P", "O", "P", "Pu"],
  "frac_coords": [[0.3414, 0.6758, 0.1621], [0.8759, 0.2854, 0.2854], [0.0000, 0.0000, 0.0000], [0.1241, 0.7146, 0.7146], [0.6586, 0.8379, 0.3242], [0.3414, 0.1621, 0.6758], [0.2924, 0.1899, 0.1899], [0.5000, 0.5000, 0.5000], [0.7076, 0.8101, 0.8101], [0.6586, 0.3242, 0.8379]]
}

***

| no. | total magnetization (Bohr magnetons per cell) |
| --- | --- |
| 1 | 18.0 |
| 2 | 0.8 |
| 3 | 14.0 |
| 4 | 10.7 |